No. 1
# Ti3VRh2

Ti3VRh2 after structural relaxation (PBE, the Alexandria database).

Cell and atoms, written as POSCAR:
```
Ti3VRh2
1.0
3.096 0.000 0.000
0.000 3.096 0.000
0.000 0.000 9.359
Ti V Rh
3 1 2
Direct
0.000 0.000 0.000
0.000 0.000 0.337
0.000 0.000 0.663
0.500 0.500 0.500
0.500 0.500 0.161
0.500 0.500 0.839
```

**D(E_F)**: 0.95 states/eV/atom
**Calculated volume**: 89.7 Å³ per cell


No. 2
# TiVRh5

TiVRh5 after structural relaxation (PBE, the Alexandria database).

Cell and atoms, written as POSCAR:
```
TiVRh5
1.0
4.543 -2.736 0.000
4.543 2.736 0.000
-2.398 0.000 8.598
Ti V Rh
2 2 10
Direct
0.125 0.875 0.750
0.875 0.125 0.250
0.000 0.500 0.000
0.500 0.000 0.500
0.168 0.330 0.735
0.231 0.557 0.506
0.330 0.168 0.235
0.331 0.669 0.250
0.443 0.769 0.994
0.557 0.231 0.006
0.669 0.331 0.750
0.670 0.832 0.765
0.769 0.443 0.494
0.832 0.670 0.265
```

**D(E_F)**: 0.85 states/eV/atom
**E above lowest polymorph**: 0.076 eV/atom
**Calculated volume**: 213.8 Å³ per cell


Number 1: formation energy -53.7 kJ per mole of atoms. Number 2: formation energy -20.9 kJ per mole of atoms.